Record 1
ZrReW2 after structural relaxation. Source: the Alexandria database, functional PBEsol.

Properties
V	65.8	Å³ per cell
symmetry	Immm
formation energy	-0.054	eV per atom
total moment	0.000	μB/f.u.
distance to the lowest polymorph of the same formula	0.0000	eV per atom

abc: 3.1755 4.5190 5.3534
angles: 114.97 107.25 90.00
Atoms (fractional coordinates):
Re: 0.0000 0.5000 0.0000
W: 0.7421 0.7421 0.4842
W: 0.2579 0.2579 0.5158
Zr: 0.5000 0.0000 0.0000

***

Record 2
Li3CuB3O7 after structural relaxation. Source: the Alexandria database, functional PBEsol.

Properties
V	269.2	Å³ per cell
symmetry	P-1
total energy	-6.96	eV per atom
total moment	1.017	μB/f.u.

abc: 3.2683 8.7944 9.4450
angles: 84.22 88.29 85.46
Each line ends with the local moment (μB).
Atoms (fractional coordinates):
Li: 0.5141 0.5923 0.6371  0.00
Li: 0.4859 0.4077 0.3629  0.00
Li: 0.4693 0.7533 0.0435  0.00
Li: 0.5307 0.2467 0.9565  0.00
Li: 0.0153 0.5262 0.1335  0.00
Li: 0.9847 0.4738 0.8665  0.00
Cu: 0.9038 0.8406 0.5372  0.63
Cu: 0.0962 0.1594 0.4628  0.63
B: 0.5655 0.7084 0.3036  0.00
B: 0.4345 0.2916 0.6964  0.00
B: 0.7317 0.9859 0.2502  0.00
B: 0.2683 0.0141 0.7498  0.00
B: 0.9436 0.2470 0.1633  0.00
B: 0.0564 0.7530 0.8367  0.00
O: 0.6259 0.6940 0.4467  0.09
O: 0.3741 0.3060 0.5533  0.09
O: 0.8421 0.9987 0.3844  0.14
O: 0.1579 0.0013 0.6156  0.14
O: 0.0198 0.2972 0.2927  0.08
O: 0.9802 0.7028 0.7073  0.08
O: 0.4782 0.5915 0.2291  0.01
O: 0.5218 0.4085 0.7709  0.01
O: 0.5918 0.8510 0.2142  0.01
O: 0.4082 0.1490 0.7858  0.01
O: 0.7585 0.1079 0.1466  0.01
O: 0.2415 0.8921 0.8534  0.01
O: 0.0112 0.3337 0.0396  0.01
O: 0.9888 0.6663 0.9604  0.01

***

- The highest total moment belongs to which entry?
  Li3CuB3O7